# AlPCl2F, relaxed, DFT PBE
# Crystal system: tetragonal
# Spin magnetization: 0.10 μB per cell
# Relative energy among the computed polymorphs: 0.619 eV/atom
# E_form (uncorrected): -0.035 eV/atom
# Final energy: -2.98 eV/atom
data_AlPCl2F
_chemical_formula_sum 'Al1 P1 Cl2 F1'
_cell_length_a 5.5314
_cell_length_b 5.5314
_cell_length_c 3.6185
_cell_angle_alpha 90.00
_cell_angle_beta 90.00
_cell_angle_gamma 90.00
_space_group_name_H-M_alt 'P 4/m m m'
_space_group_IT_number 123
_space_group_name_Hall '-P 4 2'
loop_
_atom_site_label
_atom_site_type_symbol
_atom_site_fract_x
_atom_site_fract_y
_atom_site_fract_z
_atom_site_occupancy
Al1 Al 0.0000 0.0000 0.0000 1
P1 P 0.5000 0.5000 0.0000 1
Cl1 Cl 0.0000 0.5000 0.5000 1
F1 F 0.5000 0.5000 0.5000 1

# BaLaZr, relaxed, DFT PBE
# Crystal system: trigonal
# Spin magnetization: 0.00 μB per cell
# Relative energy among the computed polymorphs: 0.046 eV/atom
# Formation enthalpy at 0 K: 0.38 eV/atom
# Final energy: -4.75 eV/atom
data_BaLaZr
_chemical_formula_sum 'Ba1 La1 Zr1'
_cell_length_a 3.6241
_cell_length_b 3.6241
_cell_length_c 9.3029
_cell_angle_alpha 90.00
_cell_angle_beta 90.00
_cell_angle_gamma 120.00
_space_group_name_H-M_alt 'P 3 m 1'
_space_group_IT_number 156
_space_group_name_Hall 'P 3 -2"'
loop_
_atom_site_label
_atom_site_type_symbol
_atom_site_fract_x
_atom_site_fract_y
_atom_site_fract_z
_atom_site_occupancy
Ba1 Ba 0.0000 0.0000 0.0000 1
La1 La 0.6667 0.3333 0.3962 1
Zr1 Zr 0.3333 0.6667 0.6758 1

# AcDyTlBi, relaxed, DFT PBE
# Crystal system: cubic
# Spin magnetization: 0.00 μB per cell
# Formation enthalpy at 0 K: -0.42 eV/atom
# Final energy: -4.16 eV/atom
data_AcDyTlBi
_chemical_formula_sum 'Ac4 Dy4 Tl4 Bi4'
_cell_length_a 8.0328
_cell_length_b 8.0328
_cell_length_c 8.0328
_cell_angle_alpha 90.00
_cell_angle_beta 90.00
_cell_angle_gamma 90.00
_space_group_name_H-M_alt 'F -4 3 m'
_space_group_IT_number 216
_space_group_name_Hall 'F -4 2 3'
loop_
_atom_site_label
_atom_site_type_symbol
_atom_site_fract_x
_atom_site_fract_y
_atom_site_fract_z
_atom_site_occupancy
Ac1 Ac 0.0000 0.0000 0.0000 1
Dy1 Dy 0.0000 0.0000 0.5000 1
Tl1 Tl 0.2500 0.2500 0.7500 1
Bi1 Bi 0.2500 0.2500 0.2500 1

# CuAsI2N, relaxed, DFT PBE
# Crystal system: tetragonal
# Spin magnetization: 0.00 μB per cell
# Relative energy among the computed polymorphs: 0.000 eV/atom
# E_form (uncorrected): 0.896 eV/atom
# Final energy: -3.14 eV/atom
data_CuAsI2N
_chemical_formula_sum 'Cu1 As1 I2 N1'
_cell_length_a 5.8907
_cell_length_b 5.8907
_cell_length_c 3.6641
_cell_angle_alpha 90.00
_cell_angle_beta 90.00
_cell_angle_gamma 90.00
_space_group_name_H-M_alt 'P 4/m m m'
_space_group_IT_number 123
_space_group_name_Hall '-P 4 2'
loop_
_atom_site_label
_atom_site_type_symbol
_atom_site_fract_x
_atom_site_fract_y
_atom_site_fract_z
_atom_site_occupancy
Cu1 Cu 0.0000 0.0000 0.0000 1
As1 As 0.5000 0.5000 0.5000 1
I1 I 0.0000 0.5000 0.5000 1
N1 N 0.5000 0.5000 0.0000 1

# Cs3HoBi2Te6, relaxed, DFT PBE
# Crystal system: monoclinic
# Spin magnetization: 0.00 μB per cell
# E_form (uncorrected): -0.873 eV/atom
# Final energy: -3.69 eV/atom
data_Cs3HoBi2Te6
_chemical_formula_sum 'Cs6 Ho2 Bi4 Te12'
_cell_length_a 8.0208
_cell_length_b 13.8902
_cell_length_c 9.3080
_cell_angle_alpha 90.00
_cell_angle_beta 106.68
_cell_angle_gamma 90.00
_space_group_name_H-M_alt 'C 1 2/m 1'
_space_group_IT_number 12
_space_group_name_Hall '-C 2y'
loop_
_atom_site_label
_atom_site_type_symbol
_atom_site_fract_x
_atom_site_fract_y
_atom_site_fract_z
_atom_site_occupancy
Cs1 Cs 0.0000 0.0000 0.0000 1
Cs2 Cs 0.0000 0.3310 0.0000 1
Ho1 Ho 0.0000 0.5000 0.5000 1
Bi1 Bi 0.0000 0.1664 0.5000 1
Te1 Te 0.2269 0.3364 0.6903 1
Te2 Te 0.2366 0.0000 0.6910 1

# Li2EuTm, relaxed, DFT PBE
# Crystal system: tetragonal
# Spin magnetization: 7.48 μB per cell
# Relative energy among the computed polymorphs: 0.000 eV/atom
# Formation enthalpy at 0 K: 0.14 eV/atom
# Final energy: -4.51 eV/atom
data_Li2EuTm
_chemical_formula_sum 'Li2 Eu1 Tm1'
_cell_length_a 3.7929
_cell_length_b 3.7929
_cell_length_c 7.8185
_cell_angle_alpha 90.00
_cell_angle_beta 90.00
_cell_angle_gamma 90.00
_space_group_name_H-M_alt 'P 4/m m m'
_space_group_IT_number 123
_space_group_name_Hall '-P 4 2'
loop_
_atom_site_label
_atom_site_type_symbol
_atom_site_fract_x
_atom_site_fract_y
_atom_site_fract_z
_atom_site_occupancy
Li1 Li 0.0000 0.0000 0.2269 1
Eu1 Eu 0.5000 0.5000 0.5000 1
Tm1 Tm 0.5000 0.5000 0.0000 1

# Sm2Mn2AlCo5, relaxed, DFT PBE
# Crystal system: tetragonal
# Spin magnetization: 21.32 μB per cell
# Formation enthalpy at 0 K: 0.05 eV/atom
# Final energy: -6.66 eV/atom
data_Sm2Mn2AlCo5
_chemical_formula_sum 'Sm4 Mn4 Al2 Co10'
_cell_length_a 9.4086
_cell_length_b 9.4086
_cell_length_c 3.4579
_cell_angle_alpha 90.00
_cell_angle_beta 90.00
_cell_angle_gamma 90.00
_space_group_name_H-M_alt 'P 4/m b m'
_space_group_IT_number 127
_space_group_name_Hall '-P 4 2ab'
loop_
_atom_site_label
_atom_site_type_symbol
_atom_site_fract_x
_atom_site_fract_y
_atom_site_fract_z
_atom_site_occupancy
Sm1 Sm 0.1809 0.3191 0.0000 1
Mn1 Mn 0.1192 0.6192 0.0000 1
Al1 Al 0.0000 0.0000 0.0000 1
Co1 Co 0.0000 0.5000 0.5000 1
Co2 Co 0.0534 0.8025 0.5000 1

# VCr3Rh, relaxed, DFT PBE
# Crystal system: cubic
# Spin magnetization: 13.59 μB per cell
# Relative energy among the computed polymorphs: 0.353 eV/atom
# Formation enthalpy at 0 K: 1.58 eV/atom
# Final energy: -7.49 eV/atom
data_VCr3Rh
_chemical_formula_sum 'V1 Cr3 Rh1'
_cell_length_a 4.6825
_cell_length_b 4.6825
_cell_length_c 4.6825
_cell_angle_alpha 90.00
_cell_angle_beta 90.00
_cell_angle_gamma 90.00
_space_group_name_H-M_alt 'P m -3 m'
_space_group_IT_number 221
_space_group_name_Hall '-P 4 2 3'
loop_
_atom_site_label
_atom_site_type_symbol
_atom_site_fract_x
_atom_site_fract_y
_atom_site_fract_z
_atom_site_occupancy
V1 V 0.0000 0.0000 0.0000 1
Cr1 Cr 0.0000 0.5000 0.5000 1
Rh1 Rh 0.5000 0.5000 0.5000 1

# LaTl3C, relaxed, DFT PBE
# Crystal system: cubic
# Spin magnetization: 0.00 μB per cell
# Relative energy among the computed polymorphs: 0.000 eV/atom
# Formation enthalpy at 0 K: 0.75 eV/atom
# Final energy: -3.50 eV/atom
data_LaTl3C
_chemical_formula_sum 'La1 Tl3 C1'
_cell_length_a 5.0634
_cell_length_b 5.0634
_cell_length_c 5.0634
_cell_angle_alpha 90.00
_cell_angle_beta 90.00
_cell_angle_gamma 90.00
_space_group_name_H-M_alt 'P m -3 m'
_space_group_IT_number 221
_space_group_name_Hall '-P 4 2 3'
loop_
_atom_site_label
_atom_site_type_symbol
_atom_site_fract_x
_atom_site_fract_y
_atom_site_fract_z
_atom_site_occupancy
La1 La 0.0000 0.0000 0.0000 1
Tl1 Tl 0.0000 0.5000 0.5000 1
C1 C 0.5000 0.5000 0.5000 1

# RbBa2LiPt, relaxed, DFT PBE
# Crystal system: tetragonal
# Spin magnetization: 0.00 μB per cell
# Relative energy among the computed polymorphs: 0.053 eV/atom
# Formation enthalpy at 0 K: -0.16 eV/atom
# Final energy: -2.71 eV/atom
data_RbBa2LiPt
_chemical_formula_sum 'Rb1 Ba2 Li1 Pt1'
_cell_length_a 6.1919
_cell_length_b 6.1919
_cell_length_c 6.6317
_cell_angle_alpha 90.00
_cell_angle_beta 90.00
_cell_angle_gamma 90.00
_space_group_name_H-M_alt 'P 4/m m m'
_space_group_IT_number 123
_space_group_name_Hall '-P 4 2'
loop_
_atom_site_label
_atom_site_type_symbol
_atom_site_fract_x
_atom_site_fract_y
_atom_site_fract_z
_atom_site_occupancy
Rb1 Rb 0.0000 0.0000 0.0000 1
Ba1 Ba 0.0000 0.5000 0.5000 1
Li1 Li 0.5000 0.5000 0.0000 1
Pt1 Pt 0.0000 0.0000 0.5000 1

# CdSn3Br, relaxed, DFT PBE
# Crystal system: cubic
# Spin magnetization: 0.00 μB per cell
# Relative energy among the computed polymorphs: 0.000 eV/atom
# E_form (uncorrected): 0.425 eV/atom
# Final energy: -2.49 eV/atom
data_CdSn3Br
_chemical_formula_sum 'Cd1 Sn3 Br1'
_cell_length_a 5.6152
_cell_length_b 5.6152
_cell_length_c 5.6152
_cell_angle_alpha 90.00
_cell_angle_beta 90.00
_cell_angle_gamma 90.00
_space_group_name_H-M_alt 'P m -3 m'
_space_group_IT_number 221
_space_group_name_Hall '-P 4 2 3'
loop_
_atom_site_label
_atom_site_type_symbol
_atom_site_fract_x
_atom_site_fract_y
_atom_site_fract_z
_atom_site_occupancy
Cd1 Cd 0.0000 0.0000 0.0000 1
Sn1 Sn 0.0000 0.0000 0.5000 1
Br1 Br 0.5000 0.5000 0.5000 1

Which value of final energy does entry 2 give?
-4.75 eV/atom